Material: TiBeAl2
Method: DFT, meta-GGA SCAN
State: single point on PBEsol structure

The structure belongs to space group I-42d (No. 122); the cell edges are 6.857, 6.857 and 5.058 Å and the angles 90.00°, 90.00° and 90.00°. The distinct sites, in fractional coordinates, are Ti at (0.000, 0.000, 0.000), Be at (0.000, 0.000, 0.500) and Al at (0.198, 0.250, 0.625).

The volume is 14.9 A^3/atom. For the calculated formation energy, the calculation gives 0.0919 eV per atom.

Material: ZrCo2Te
Method: DFT, meta-GGA SCAN
State: single point on PBEsol structure

The structure belongs to space group F-43m (No. 216); the cell edges are 6.306, 6.306 and 6.306 Å and the angles 90.00°, 90.00° and 90.00°. The distinct sites, in fractional coordinates, are Zr at (0.000, 0.000, 0.000), Co at (0.000, 0.000, 0.500), Co at (0.250, 0.250, 0.750) and Te at (0.250, 0.250, 0.250).

Its total energy is -25.412 eV per atom. The volume is 15.7 A^3/atom.

Material: CaAu2Se
Method: DFT, meta-GGA SCAN
State: single point on PBEsol structure

The structure belongs to space group C2/m (No. 12); the cell edges are 10.798, 3.851 and 4.031 Å and the angles 90.00°, 91.65° and 90.00°. The distinct sites, in fractional coordinates, are Ca at (0.000, 0.000, 0.000), Au at (0.233, 0.500, 0.246) and Se at (0.000, 0.500, 0.500).

Its total energy is -42.840 eV per atom. The volume is 20.9 A^3/atom.

Material: NbHPd3
Method: DFT, meta-GGA SCAN
State: single point on PBEsol structure

The structure belongs to space group Pm-3m (No. 221); the cell edges are 3.990, 3.990 and 3.990 Å and the angles 90.00°, 90.00° and 90.00°. The distinct sites, in fractional coordinates, are Nb at (0.000, 0.000, 0.000), H at (0.500, 0.500, 0.500) and Pd at (0.000, 0.500, 0.500).

Its total energy is -27.066 eV per atom. The volume is 12.7 A^3/atom.

Material: HfNF3
Method: DFT, meta-GGA SCAN
State: single point on PBEsol structure

The structure belongs to space group Pm-3m (No. 221); the cell edges are 4.053, 4.053 and 4.053 Å and the angles 90.00°, 90.00° and 90.00°. The distinct sites, in fractional coordinates, are Hf at (0.000, 0.000, 0.000), N at (0.500, 0.500, 0.500) and F at (0.000, 0.000, 0.500).

Its total energy is -18.483 eV per atom. The volume is 13.3 A^3/atom.

Material: CaCeMg2
Method: DFT, meta-GGA SCAN
State: single point on PBEsol structure

The structure belongs to space group Fm-3m (No. 225); the cell edges are 7.708, 7.708 and 7.708 Å and the angles 90.00°, 90.00° and 90.00°. The distinct sites, in fractional coordinates, are Ca at (0.000, 0.000, 0.000), Ce at (0.000, 0.000, 0.500) and Mg at (0.250, 0.250, 0.250).

The volume is 28.6 A^3/atom. For the calculated formation energy, the calculation gives 0.0067 eV per atom.

Material: YSiAs2
Method: DFT, meta-GGA SCAN
State: single point on PBEsol structure

The structure belongs to space group R-3m (No. 166, hexagonal axes); the cell edges are 3.7584, 3.7584 and 20.1329 Å and the angles 90.00°, 90.00° and 120.00°. The distinct sites, in fractional coordinates, are Y at (0.0000, 0.0000, 0.0000), Si at (0.0000, 0.0000, 0.5000) and As at (0.0000, 0.0000, 0.2388).

Its total energy is -20.042 eV per atom. The volume is 20.5 A^3/atom.

Material: AlFe4
Method: DFT, meta-GGA SCAN
State: single point on PBEsol structure

The structure belongs to space group Im-3m (No. 229); the cell edges are 5.290, 5.290 and 5.290 Å and the angles 90.00°, 90.00° and 90.00°. The distinct sites, in fractional coordinates, are Al at (0.000, 0.000, 0.000) and Fe at (0.250, 0.250, 0.250).

The volume is 14.8 A^3/atom. For the calculated formation energy, the calculation gives 0.7558 eV per atom. The value obtained for the polymorph energy (0 for the lowest one) is 0.904 eV per atom.

Material: Li2CoAs
Method: DFT, meta-GGA SCAN
State: single point on PBEsol structure

The structure belongs to space group Cmmm (No. 65); the cell edges are 3.536, 3.828 and 8.053 Å and the angles 90.00°, 90.00° and 90.00°. The distinct sites, in fractional coordinates, are Li at (0.000, 0.000, 0.246), Co at (0.000, 0.500, 0.000) and As at (0.000, 0.500, 0.500).

The volume is 13.6 A^3/atom. For the calculated formation energy, the calculation gives -0.0598 eV per atom.

Material: Li3Ni2
Method: DFT, meta-GGA SCAN
State: single point on PBEsol structure

The structure belongs to space group Fdd2 (No. 43); the cell edges are 8.528, 23.228 and 2.405 Å and the angles 90.00°, 90.00° and 90.00°. The distinct sites, in fractional coordinates, are Li at (0.000, 0.000, 0.000), Li at (0.026, 0.398, 0.077) and Ni at (0.014, 0.293, 0.676).

The volume is 11.9 A^3/atom. For the calculated formation energy, the calculation gives 0.0553 eV per atom.

Material: TmSiAg
Method: DFT, meta-GGA SCAN
State: single point on PBEsol structure

The structure belongs to space group P-62m (No. 189); the cell edges are 6.8633, 6.8633 and 4.1093 Å and the angles 90.00°, 90.00° and 120.00°. The distinct sites, in fractional coordinates, are Tm at (0.0000, 0.5797, 0.0000), Si at (0.0000, 0.0000, 0.0000), Si at (0.3333, 0.6667, 0.5000) and Ag at (0.0000, 0.2499, 0.5000).

Its total energy is -31.699 eV per atom. The volume is 18.6 A^3/atom.

Material: NaCrCd2S
Method: DFT, meta-GGA SCAN
State: single point on PBEsol structure

The structure belongs to space group P4/mmm (No. 123); the cell edges are 5.157, 5.157 and 4.762 Å and the angles 90.00°, 90.00° and 90.00°. The distinct sites, in fractional coordinates, are Na at (0.000, 0.000, 0.000), Cr at (0.500, 0.500, 0.500), Cd at (0.000, 0.500, 0.000) and S at (0.000, 0.000, 0.500).

Its total energy is -18.001 eV per atom. The volume is 25.3 A^3/atom.

Q: What is the formula in the fourth record?
A: NbHPd3